Density functional theory data (PBE) for crystalline Dy3ErIr at its relaxed geometry. Values from VASP.

Results
The value obtained for the relative energy among the computed polymorphs is 0.102 eV per atom. The energy of formation is -0.23 eV/atom.

Cell and atoms, written as Quantum ESPRESSO input:
```
&SYSTEM
  ibrav = 0, nat = 5, ntyp = 3
/
ATOMIC_SPECIES
Ir 192.22 Ir.upf
Dy 162.50 Dy.upf
Er 167.26 Er.upf
CELL_PARAMETERS angstrom
-4.2120 3.4067 0.1929
-2.4043 -3.1806 3.6725
2.4213 2.7680 3.9824
ATOMIC_POSITIONS angstrom
Ir 0.0000 0.0000 0.0000
Dy -2.1060 1.7034 0.0965
Dy -1.2021 -1.5903 1.8362
Dy 1.2106 1.3840 1.9912
Er -2.0975 1.4971 3.9239
```